LiYC | PBE-GGA | optimized geometry

Summary:
- E_form: 5.10 eV/f.u.
- Energy above the lowest structure with this stoichiometry: 1835 meV/atom
- Final energy: -4.167 eV/atom
- Total moment: 0.0 Bohr magnetons per cell

Structure (CIF):
```
data_LiYC
_space_group_name_H-M_alt 'P 63/m m c'
_space_group_IT_number 194
_space_group_name_Hall '-P 6c 2c'
_cell_length_a 5.7917
_cell_length_b 5.7917
_cell_length_c 8.4662
_cell_angle_alpha 90.00
_cell_angle_beta 90.00
_cell_angle_gamma 120.00
loop_
_atom_site_label
_atom_site_fract_x
_atom_site_fract_y
_atom_site_fract_z
Li1 0.3333 0.6667 0.2500
Y1 0.0000 0.0000 0.2500
C1 0.0000 0.0000 0.0000
```

Er2Ga4Cu3Pt | PBE-GGA | optimized geometry

Summary:
- E_form: -5.42 eV/f.u.
- Final energy: -4.498 eV/atom
- Total moment: 0.0 Bohr magnetons per cell

Structure (CIF):
```
data_Er2Ga4Cu3Pt
_space_group_name_H-M_alt 'P -4 m 2'
_space_group_IT_number 115
_cell_length_a 4.1074
_cell_length_b 4.1074
_cell_length_c 10.3001
_cell_angle_alpha 90.00
_cell_angle_beta 90.00
_cell_angle_gamma 90.00
loop_
_space_group_symop_operation_xyz
'x,y,z'
'y,-x,-z'
'-x,-y,z'
'-y,x,-z'
'-x,y,z'
'-y,-x,-z'
'x,-y,z'
'y,x,-z'
loop_
_atom_site_label
_atom_site_fract_x
_atom_site_fract_y
_atom_site_fract_z
Er1 0.0000 0.5000 0.2488
Ga1 0.0000 0.0000 0.0000
Ga2 0.0000 0.5000 0.6380
Ga3 0.5000 0.5000 0.0000
Cu1 0.0000 0.5000 0.8663
Cu2 0.5000 0.5000 0.5000
Pt1 0.0000 0.0000 0.5000
```

LiFeIr2 | PBE-GGA | optimized geometry

Summary:
- E_form: 0.14 eV/f.u.
- Final energy: -6.990 eV/atom
- Total moment: 3.4 Bohr magnetons per cell

Structure (CIF):
```
data_LiFeIr2
_space_group_name_H-M_alt 'P m m m'
_space_group_IT_number 47
_cell_length_a 2.7695
_cell_length_b 4.2983
_cell_length_c 4.5630
_cell_angle_alpha 90.00
_cell_angle_beta 90.00
_cell_angle_gamma 90.00
loop_
_space_group_symop_operation_xyz
'x,y,z'
'-x,-y,-z'
'-x,-y,z'
'x,y,-z'
'x,-y,-z'
'-x,y,z'
'-x,y,-z'
'x,-y,z'
loop_
_atom_site_label
_atom_site_fract_x
_atom_site_fract_y
_atom_site_fract_z
Li1 0.0000 0.0000 0.0000
Fe1 0.5000 0.0000 0.5000
Ir1 0.0000 0.5000 0.5000
Ir2 0.5000 0.5000 0.0000
```

Er2TmP | PBE-GGA | optimized geometry

Summary:
- E_form: -1.89 eV/f.u.
- Final energy: -5.224 eV/atom
- Total moment: 2.1 Bohr magnetons per cell

Structure (CIF):
```
data_Er2TmP
_space_group_name_H-M_alt 'R -3 m'
_space_group_IT_number 166
_space_group_name_Hall '-R 3 2"'
_cell_length_a 3.6860
_cell_length_b 3.6860
_cell_length_c 30.0620
_cell_angle_alpha 90.00
_cell_angle_beta 90.00
_cell_angle_gamma 120.00
loop_
_atom_site_label
_atom_site_fract_x
_atom_site_fract_y
_atom_site_fract_z
Er1 0.0000 0.0000 0.1127
Tm1 0.0000 0.0000 0.0000
P1 0.0000 0.0000 0.5000
```